Computed, not measured: an optimized crystal structure of TbPr14Ho at the PBE-GGA level of DFT.

Summary:
Its final energy is -4.745 eV/atom. Its formation energy is 0.01 eV/atom.

Cell and atoms, written as POSCAR:
```
TbPr14Ho
1.0
7.3144 0.9814 0.0000
-0.9813 7.3145 0.0000
0.0000 0.0000 10.4547
Pr Tb Ho
14 1 1
direct
0.6248 0.3752 0.2474
0.8749 0.6249 0.0000
0.1252 0.8748 0.7529
0.8750 0.1250 0.5000
0.1253 0.3753 0.2472
0.6247 0.8747 0.2472
0.6248 0.3752 0.7526
0.3749 0.6251 0.5000
0.3749 0.1250 0.5000
0.1252 0.8748 0.2471
0.8750 0.6251 0.5000
0.3751 0.1251 0.0000
0.6247 0.8747 0.7528
0.1253 0.3753 0.7528
0.8750 0.1250 0.0000
0.3750 0.6250 0.0000
```